No. 1
# CsAuI4O12, relaxed, DFT GGA-PBE
data_CsAuI4O12
_cell_length_a 7.9679
_cell_length_b 8.1509
_cell_length_c 11.2226
_cell_angle_alpha 74.62
_cell_angle_beta 71.40
_cell_angle_gamma 83.76
_space_group_name_H-M_alt 'P 1'
_space_group_IT_number 1
loop_
_space_group_symop_operation_xyz
'x,y,z'
loop_
_atom_site_label
_atom_site_fract_x
_atom_site_fract_y
_atom_site_fract_z
_atom_site_occupancy
Cs1 0.0506 0.1859 0.1388 1
Cs2 0.9494 0.8141 0.8612 1
Au1 0.4328 0.9546 0.7891 1
Au2 0.5672 0.0454 0.2109 1
I1 0.2376 0.7891 0.4670 1
I2 0.2409 0.3446 0.7452 1
I3 0.2790 0.2831 0.4114 1
I4 0.3385 0.6686 0.1040 1
I5 0.6615 0.3314 0.8960 1
I6 0.7210 0.7169 0.5886 1
I7 0.7591 0.6554 0.2548 1
I8 0.7624 0.2109 0.5330 1
O1 0.0458 0.4107 0.8587 1
O2 0.0531 0.3086 0.4004 1
O3 0.1409 0.3201 0.6243 1
O4 0.1846 0.9774 0.5310 1
O5 0.2208 0.1095 0.8439 1
O6 0.2830 0.8514 0.1731 1
O7 0.3064 0.7636 0.9361 1
O8 0.3128 0.6489 0.5965 1
O9 0.3373 0.5078 0.3368 1
O10 0.3561 0.2065 0.2518 1
O11 0.4219 0.3445 0.9368 1
O12 0.4853 0.8499 0.3708 1
O13 0.5147 0.1501 0.6292 1
O14 0.5781 0.6555 0.0632 1
O15 0.6439 0.7935 0.7482 1
O16 0.6627 0.4922 0.6632 1
O17 0.6872 0.3511 0.4035 1
O18 0.6936 0.2364 0.0639 1
O19 0.7170 0.1486 0.8269 1
O20 0.7792 0.8905 0.1561 1
O21 0.8154 0.0226 0.4690 1
O22 0.8591 0.6799 0.3757 1
O23 0.9469 0.6914 0.5996 1
O24 0.9542 0.5893 0.1413 1
# Uncorrected energy in eV/atom: -4.32
# Crystal system: triclinic
# SG: P-1 (2)

No. 2
# Cs2AuIO, relaxed, DFT GGA-PBE
data_Cs2AuIO
_cell_length_a 6.5451
_cell_length_b 6.5451
_cell_length_c 4.1045
_cell_angle_alpha 90.00
_cell_angle_beta 90.00
_cell_angle_gamma 90.00
_space_group_name_H-M_alt 'P 1'
_space_group_IT_number 1
loop_
_space_group_symop_operation_xyz
'x,y,z'
loop_
_atom_site_label
_atom_site_fract_x
_atom_site_fract_y
_atom_site_fract_z
_atom_site_occupancy
Cs1 0.0000 0.5000 0.0000 1
Cs2 0.5000 0.0000 0.0000 1
Au1 0.0000 0.0000 0.5000 1
I1 0.5000 0.5000 0.5000 1
O1 0.0000 0.0000 0.0000 1
# Uncorrected energy in eV/atom: -3.28
# Crystal system: tetragonal
# SG: P4/mmm (123)

No. 3
# CsOs2AuI, relaxed, DFT GGA-PBE
data_CsOs2AuI
_cell_length_a 4.9725
_cell_length_b 4.9725
_cell_length_c 5.8362
_cell_angle_alpha 90.00
_cell_angle_beta 90.00
_cell_angle_gamma 90.00
_space_group_name_H-M_alt 'P 1'
_space_group_IT_number 1
loop_
_space_group_symop_operation_xyz
'x,y,z'
loop_
_atom_site_label
_atom_site_fract_x
_atom_site_fract_y
_atom_site_fract_z
_atom_site_occupancy
Cs1 0.0000 0.0000 0.0000 1
Os1 0.0000 0.5000 0.5000 1
Os2 0.5000 0.0000 0.5000 1
Au1 0.5000 0.5000 0.0000 1
I1 0.5000 0.5000 0.5000 1
# Uncorrected energy in eV/atom: -3.67
# Crystal system: tetragonal
# SG: P4/mmm (123)

No. 4
# Cs2PAuI6, relaxed, DFT GGA-PBE
data_Cs2PAuI6
_cell_length_a 8.2472
_cell_length_b 8.2472
_cell_length_c 8.2472
_cell_angle_alpha 120.57
_cell_angle_beta 120.57
_cell_angle_gamma 89.02
_space_group_name_H-M_alt 'P 1'
_space_group_IT_number 1
loop_
_space_group_symop_operation_xyz
'x,y,z'
loop_
_atom_site_label
_atom_site_fract_x
_atom_site_fract_y
_atom_site_fract_z
_atom_site_occupancy
Cs1 0.2500 0.7500 0.5000 1
Cs2 0.7500 0.2500 0.5000 1
P1 0.0000 0.0000 0.0000 1
Au1 0.5000 0.5000 0.0000 1
I1 0.2411 0.2411 0.0000 1
I2 0.2455 0.2455 0.4910 1
I3 0.2455 0.7545 0.0000 1
I4 0.7545 0.2455 0.0000 1
I5 0.7545 0.7545 0.5090 1
I6 0.7589 0.7589 0.0000 1
# Uncorrected energy in eV/atom: -2.58
# Crystal system: tetragonal
# SG: I4/mmm (139)

| no. | uncorrected formation energy (kJ/mol of atoms) |
| --- | --- |
| 1 | -42.92 |
| 2 | -95.07 |
| 3 | 188.49 |
| 4 | -59.25 |